Zn3Fe4 | PBE | relaxed

a = 4.7453 Å, b = 4.7453 Å, c = 4.6334 Å
α = 90.00°, β = 90.00°, γ = 120.00°
Atoms (fractional coordinates):
Fe 0.0000 0.0000 0.2633
Fe 0.6667 0.3333 0.5000
Fe 0.0000 0.0000 0.7367
Fe 0.3333 0.6667 0.5000
Zn 0.5000 0.5000 0.0000
Zn 0.0000 0.5000 0.0000
Zn 0.5000 0.0000 0.0000

Summary:
- Relative energy among the computed polymorphs: 137 meV/atom
- Fermi-level density of states: 3.52 states/eV/cell
- Total magnetization: 9.9 μB per cell
- Theoretical density: 7.71 g/cm³
- Energy of formation: 0.19 eV per atom